Computed, not measured: a relaxed YThPt2 crystal at the GGA-PBE level of DFT.

Calculated values
calculated density: 12.95 g/cm3
space group: P4/mmm, No. 123
DFT formation energy: -1.11 eV/atom
spin magnetization: 0.00 μB per formula unit
V: 22.8 Å³/atom
crystal system: tetragonal

```
YThPt2
1.0
5.049 0.000 0.000
0.000 5.049 0.000
0.000 0.000 3.576
Y Th Pt
1 1 2
Cartesian
0.000 0.000 0.000
2.525 2.525 0.000
0.000 2.525 1.788
2.525 0.000 1.788
```



Computed, not measured: a relaxed DyBr4N2 crystal at the GGA-PBE level of DFT.

Calculated values
calculated density: 3.19 g/cm3
space group: C2/m, No. 12
spin magnetization: 6.99 μB per formula unit
V: 38.0 Å³/atom
raw formation energy: 49.5 kJ per mole of atoms
crystal system: monoclinic

```
DyBr4N2
1.0
9.311 -2.069 0.000
9.311 2.069 0.000
-0.746 0.000 6.897
Dy Br N
1 4 2
Cartesian
0.000 0.000 0.000
0.651 0.000 4.450
6.849 0.000 6.024
11.026 0.000 0.873
17.224 0.000 2.447
4.661 0.000 1.787
13.215 0.000 5.109
```



Computed, not measured: a relaxed Pr2Sm3Se8 crystal at the GGA-PBE level of DFT.

Calculated values
calculated density: 5.38 g/cm3
space group: C2/m, No. 12
spin magnetization: 0.00 μB per formula unit
V: 32.4 Å³/atom
raw formation energy: -165.2 kJ per mole of atoms
crystal system: monoclinic

```
Pr2Sm3Se8
1.0
7.338 -4.252 0.000
7.338 4.252 0.000
-2.432 0.000 6.756
Pr Sm Se
2 3 8
Cartesian
3.115 0.000 1.073
9.128 0.000 5.683
6.122 2.230 3.378
7.338 0.000 0.000
6.122 -2.230 3.378
0.772 0.000 2.868
5.334 2.000 0.585
4.231 0.000 3.885
6.909 2.000 6.171
5.334 -2.000 0.585
8.012 0.000 2.871
6.909 -2.000 6.171
11.472 0.000 3.889
```



Computed, not measured: a relaxed Nb3Ir2Pt2 crystal at the GGA-PBE level of DFT.

Calculated values
calculated density: 15.24 g/cm3
space group: Cmmm, No. 65
DFT formation energy: -0.50 eV/atom
spin magnetization: 0.00 μB per formula unit
V: 16.4 Å³/atom
crystal system: orthorhombic

```
Nb3Ir2Pt2
1.0
2.082 -9.724 0.000
2.082 9.724 0.000
0.000 0.000 2.835
Nb Ir Pt
3 2 2
Cartesian
0.000 0.000 0.000
2.082 6.695 0.000
2.082 -6.695 0.000
2.082 4.083 1.418
2.082 -4.083 1.418
2.082 1.382 1.418
2.082 -1.382 1.418
```